[1]
# AlBrCl2 (PBE-GGA, relaxed)
# E above lowest polymorph: 0.000 eV/atom
# formation energy (no corrections): -1.34 eV per atom
data_AlBrCl2
_chemical_formula_sum 'Al4 Br4 Cl8'
_symmetry_space_group_name_H-M 'P -1'
_symmetry_Int_Tables_number 2
_cell_length_a 5.702
_cell_length_b 6.547
_cell_length_c 16.164
_cell_angle_alpha 90.02
_cell_angle_beta 90.00
_cell_angle_gamma 90.03
loop_
_symmetry_equiv_pos_as_xyz
'x,y,z'
'-x,-y,-z'
loop_
_atom_site_label
_atom_site_type_symbol
_atom_site_fract_x
_atom_site_fract_y
_atom_site_fract_z
_atom_site_occupancy
Al1 Al 0.000 0.250 0.161 1
Al2 Al 0.500 0.250 0.339 1
Br1 Br 0.250 0.042 0.250 1
Br2 Br 0.250 0.542 0.750 1
Cl1 Cl 0.205 0.468 0.099 1
Cl2 Cl 0.206 0.967 0.901 1
Cl3 Cl 0.294 0.467 0.401 1
Cl4 Cl 0.295 0.968 0.600 1

[2]
# SnHgPbF2 (PBE-GGA, relaxed)
# formation energy (no corrections): -1.20 eV per atom
data_SnHgPbF2
_chemical_formula_sum 'Sn1 Hg1 Pb1 F2'
_symmetry_space_group_name_H-M 'P 4/m m m'
_symmetry_Int_Tables_number 123
_symmetry_space_group_name_Hall '-P 4 2'
_cell_length_a 4.469
_cell_length_b 4.469
_cell_length_c 6.300
_cell_angle_alpha 90.00
_cell_angle_beta 90.00
_cell_angle_gamma 90.00
loop_
_atom_site_label
_atom_site_type_symbol
_atom_site_fract_x
_atom_site_fract_y
_atom_site_fract_z
_atom_site_occupancy
Sn1 Sn 0.000 0.000 0.000 1
Hg1 Hg 0.500 0.500 0.500 1
Pb1 Pb 0.000 0.000 0.500 1
F1 F 0.000 0.500 0.000 1

[3]
# MgMoAu2 (PBE-GGA, relaxed)
# energy of formation: 0.03 eV/atom
data_MgMoAu2
_chemical_formula_sum 'Mg1 Mo1 Au2'
_symmetry_space_group_name_H-M 'P 4 m m'
_symmetry_Int_Tables_number 99
_cell_length_a 2.844
_cell_length_b 2.844
_cell_length_c 8.566
_cell_angle_alpha 90.00
_cell_angle_beta 90.00
_cell_angle_gamma 90.00
loop_
_symmetry_equiv_pos_as_xyz
'x,y,z'
'-y,x,z'
'-x,-y,z'
'y,-x,z'
'-x,y,z'
'y,x,z'
'x,-y,z'
'-y,-x,z'
loop_
_atom_site_label
_atom_site_type_symbol
_atom_site_fract_x
_atom_site_fract_y
_atom_site_fract_z
_atom_site_occupancy
Mg1 Mg 0.000 0.000 0.000 1
Mo1 Mo 0.500 0.500 0.253 1
Au1 Au 0.000 0.000 0.492 1
Au2 Au 0.500 0.500 0.760 1

[4]
# MnNiHPt2 (PBE-GGA, relaxed)
# E above lowest polymorph: 0.000 eV/atom
data_MnNiHPt2
_chemical_formula_sum 'Mn1 Ni1 H1 Pt2'
_symmetry_space_group_name_H-M 'P 4/m m m'
_symmetry_Int_Tables_number 123
_symmetry_space_group_name_Hall '-P 4 2'
_cell_length_a 3.982
_cell_length_b 3.982
_cell_length_c 3.749
_cell_angle_alpha 90.00
_cell_angle_beta 90.00
_cell_angle_gamma 90.00
loop_
_atom_site_label
_atom_site_type_symbol
_atom_site_fract_x
_atom_site_fract_y
_atom_site_fract_z
_atom_site_occupancy
Mn1 Mn 0.000 0.000 0.000 1
Ni1 Ni 0.500 0.500 0.000 1
H1 H 0.500 0.500 0.500 1
Pt1 Pt 0.000 0.500 0.500 1

The records above give, respectively, total magnetization values of 0.00; 0.00; 0.00; 4.91 μB/f.u..